# Ag3GeN

Ag3GeN at its PBEsol-relaxed geometry (meta-GGA SCAN, the Alexandria database).

Values from the calculation:
Its spin magnetization is 2.917 μB/f.u. For the raw formation energy, the calculation gives 1.355 eV per atom. As for the total energy: -1.7009 Ry per atom.

Geometry as CIF:
```
data_Ag3GeN
_cell_length_a 4.848
_cell_length_b 4.848
_cell_length_c 4.848
_cell_angle_alpha 90.00
_cell_angle_beta 90.00
_cell_angle_gamma 90.00
_symmetry_space_group_name_H-M 'P m -3 m'
_symmetry_Int_Tables_number 221
_symmetry_space_group_name_Hall '-P 4 2 3'
loop_
_atom_site_label
_atom_site_fract_x
_atom_site_fract_y
_atom_site_fract_z
_atom_site_occupancy
Ag1 0.000 0.000 0.500 1
Ge1 0.000 0.000 0.000 1
N1 0.500 0.500 0.500 1
```